A relaxed structure of CdCo2Pt. Source: Alexandria via LeMat-Bulk, functional GGA-PBE.

- total energy (eV/atom) = -5.2732
- space-group type = No. 99
- formation enthalpy at 0 K (eV per atom) = 0.0187

Lattice parameters (Å, degrees): 2.8211 2.8211 7.2281 90.00 90.00 90.00
Closest atoms and distances in Å follow each position.
Element x y z (fractional)
1 Cd 0.0000 0.0000 0.0000  4 Co 2.82, 4 Cd 2.82, 4 Pt 2.93
2 Co 0.0000 0.0000 0.4611  4 Co 2.40, 4 Pt 2.66
3 Co 0.5000 0.5000 0.2760  4 Co 2.40
4 Pt 0.5000 0.5000 0.7036  4 Co 2.66, 4 Pt 2.82, 4 Cd 2.93

A relaxed structure of CdCo2Pt2. Source: Alexandria via LeMat-Bulk, functional GGA-PBE.

- total energy (eV/atom) = -5.3549
- energy above the lowest structure with this stoichiometry (eV per formula unit) = 0.47
- space-group type = No. 139
- formation enthalpy at 0 K (eV per atom) = 0.0868

Lattice parameters (Å, degrees): 6.9646 6.9646 6.9646 150.96 150.96 41.54
Closest atoms and distances in Å follow each position.
Element x y z (fractional)
1 Cd 0.0000 0.0000 0.0000  8 Pt 2.84
2 Co 0.2500 0.7500 0.5000  4 Co 2.47, 4 Pt 2.55
3 Co 0.7500 0.2500 0.5000  4 Co 2.47, 4 Pt 2.55
4 Pt 0.3929 0.3929 0.0000  4 Co 2.55, 1 Pt 2.79, 4 Cd 2.84
5 Pt 0.6071 0.6071 0.0000  4 Co 2.55, 1 Pt 2.79, 4 Cd 2.84

A relaxed structure of CdCo2Pt. Source: Alexandria via LeMat-Bulk, functional GGA-PBE.

- total energy (eV/atom) = -5.1396
- space-group type = No. 139
- formation enthalpy at 0 K (eV per atom) = 0.1523

Lattice parameters (Å, degrees): 4.7182 4.7182 4.7182 131.43 131.43 71.14
Closest atoms and distances in Å follow each position.
Element x y z (fractional)
1 Cd 0.0000 0.0000 0.0000  8 Co 2.73, 4 Pt 2.74
2 Co 0.2500 0.7500 0.5000  4 Pt 2.73, 4 Cd 2.73, 4 Co 2.74
3 Co 0.7500 0.2500 0.5000  4 Pt 2.73, 4 Cd 2.73, 4 Co 2.74
4 Pt 0.5000 0.5000 0.0000  8 Co 2.73, 4 Cd 2.74

A relaxed structure of CdCo2Pt. Source: Alexandria via LeMat-Bulk, functional GGA-PBE.

- total energy (eV/atom) = -5.1485
- space-group type = No. 12
- formation enthalpy at 0 K (eV per atom) = 0.1434

Lattice parameters (Å, degrees): 4.6831 4.6831 4.8399 100.08 100.08 34.55
Closest atoms and distances in Å follow each position.
Element x y z (fractional)
1 Cd 0.0000 0.0000 0.0000  2 Cd 2.78, 6 Co 2.79-2.83, 4 Pt 2.79
2 Co 0.2427 0.2427 0.7117  4 Co 2.50-2.78, 3 Pt 2.62-2.68, 1 Cd 2.79
3 Co 0.7573 0.7573 0.2883  4 Co 2.50-2.78, 3 Pt 2.62-2.68, 1 Cd 2.79
4 Pt 0.5000 0.5000 0.5000  6 Co 2.62-2.68, 2 Pt 2.78, 4 Cd 2.79

A relaxed structure of CdCo2Pt2. Source: Alexandria via LeMat-Bulk, functional GGA-PBE.

- total energy (eV/atom) = -5.4494
- energy above the lowest structure with this stoichiometry (eV per formula unit) = 0.00
- space-group type = No. 127
- formation enthalpy at 0 K (eV per atom) = -0.0077

Lattice parameters (Å, degrees): 7.4008 7.4008 2.7704 90.00 90.00 90.00
Closest atoms and distances in Å follow each position.
Element x y z (fractional)
1 Cd 0.0000 0.0000 0.0000  2 Cd 2.77, 4 Co 2.97, 8 Pt 3.06
2 Cd 0.5000 0.5000 0.0000  2 Cd 2.77, 4 Co 2.97, 8 Pt 3.06
3 Co 0.1148 0.3852 0.0000  1 Co 2.40, 6 Pt 2.57-2.61
4 Co 0.3852 0.8852 0.0000  1 Co 2.40, 6 Pt 2.57-2.61
5 Co 0.6148 0.1148 0.0000  1 Co 2.40, 6 Pt 2.57-2.61
6 Co 0.8852 0.6148 0.0000  1 Co 2.40, 6 Pt 2.57-2.61
7 Pt 0.1778 0.6778 0.5000  6 Co 2.57-2.61, 2 Pt 2.77
8 Pt 0.3222 0.1778 0.5000  6 Co 2.57-2.61, 2 Pt 2.77
9 Pt 0.6778 0.8222 0.5000  6 Co 2.57-2.61, 2 Pt 2.77
10 Pt 0.8222 0.3222 0.5000  6 Co 2.57-2.61, 2 Pt 2.77

A relaxed structure of CdCo2Pt. Source: Alexandria via LeMat-Bulk, functional GGA-PBE.

- total energy (eV/atom) = -5.0922
- space-group type = No. 216
- formation enthalpy at 0 K (eV per atom) = 0.1997

Lattice parameters (Å, degrees): 4.3617 4.3617 4.3617 60.00 60.00 60.00
Closest atoms and distances in Å follow each position.
Element x y z (fractional)
1 Cd 0.0000 0.0000 0.0000  4 Co 2.67, 4 Pt 2.67
2 Co 0.5000 0.5000 0.5000  4 Co 2.67, 4 Pt 2.67
3 Co 0.7500 0.7500 0.7500  4 Cd 2.67, 4 Co 2.67
4 Pt 0.2500 0.2500 0.2500  4 Cd 2.67, 4 Co 2.67

A relaxed structure of CdCo2Pt. Source: Alexandria via LeMat-Bulk, functional GGA-PBE.

- total energy (eV/atom) = -5.1645
- space-group type = No. 10
- formation enthalpy at 0 K (eV per atom) = 0.1274

Lattice parameters (Å, degrees): 2.7407 3.7626 5.6658 90.00 90.17 90.00
Closest atoms and distances in Å follow each position.
Element x y z (fractional)
1 Cd 0.0000 0.0000 0.0000  2 Cd 2.74, 8 Co 2.82-2.83, 2 Pt 2.83
2 Co 0.4991 0.5000 0.2820  3 Co 2.47-2.74, 4 Pt 2.63-2.64
3 Co 0.5009 0.5000 0.7180  3 Co 2.47-2.74, 4 Pt 2.63-2.64
4 Pt 0.0000 0.0000 0.5000  8 Co 2.63-2.64, 2 Pt 2.74, 2 Cd 2.83

A relaxed structure of Cd2CoPt. Source: Alexandria via LeMat-Bulk, functional GGA-PBE.

- total energy (eV/atom) = -3.7038
- space-group type = No. 123
- formation enthalpy at 0 K (eV per atom) = 0.0405

Lattice parameters (Å, degrees): 4.1328 4.1328 3.9072 90.00 90.00 90.00
Closest atoms and distances in Å follow each position.
Element x y z (fractional)
1 Cd 0.0000 0.5000 0.0000  4 Co 2.84, 4 Pt 2.84, 4 Cd 2.92
2 Cd 0.5000 0.0000 0.0000  4 Co 2.84, 4 Pt 2.84, 4 Cd 2.92
3 Co 0.0000 0.0000 0.5000  8 Cd 2.84, 4 Pt 2.92
4 Pt 0.5000 0.5000 0.5000  8 Cd 2.84, 4 Co 2.92

A relaxed structure of CdCo2Pt. Source: Alexandria via LeMat-Bulk, functional GGA-PBE.

- total energy (eV/atom) = -5.1105
- space-group type = No. 12
- formation enthalpy at 0 K (eV per atom) = 0.1814

Lattice parameters (Å, degrees): 4.7162 4.7162 2.7394 90.09 90.09 109.06
Closest atoms and distances in Å follow each position.
Element x y z (fractional)
1 Cd 0.0000 0.0000 0.0000  8 Co 2.73, 2 Pt 2.74, 2 Cd 2.74
2 Co 0.0000 0.5000 0.5000  4 Cd 2.73, 4 Pt 2.73, 4 Co 2.74
3 Co 0.5000 0.0000 0.5000  4 Cd 2.73, 4 Pt 2.73, 4 Co 2.74
4 Pt 0.5000 0.5000 0.0000  8 Co 2.73, 2 Cd 2.74, 2 Pt 2.74

A relaxed structure of Cd2CoPt. Source: Alexandria via LeMat-Bulk, functional GGA-PBE.

- total energy (eV/atom) = -3.7280
- space-group type = No. 8
- formation enthalpy at 0 K (eV per atom) = 0.0162

Lattice parameters (Å, degrees): 5.3842 5.3842 4.8890 110.08 110.08 30.83
Closest atoms and distances in Å follow each position.
Element x y z (fractional)
1 Cd 0.0000 0.0000 0.0000  3 Co 2.82-2.90, 4 Pt 2.85-2.89, 3 Cd 2.86-3.05
2 Cd 0.2116 0.2116 0.6205  4 Co 2.79-2.93, 3 Pt 2.84-2.91, 3 Cd 2.86-3.05
3 Co 0.7492 0.7492 0.1321  2 Pt 2.58, 4 Cd 2.79-2.82, 2 Co 2.86
4 Pt 0.4510 0.4510 0.4671  2 Co 2.58, 5 Cd 2.84-2.89, 2 Pt 2.86

A relaxed structure of CdCo2Pt. Source: Alexandria via LeMat-Bulk, functional GGA-PBE.

- total energy (eV/atom) = -5.1399
- space-group type = No. 123
- formation enthalpy at 0 K (eV per atom) = 0.1521

Lattice parameters (Å, degrees): 2.7581 2.7581 7.6030 90.00 90.00 90.00
Closest atoms and distances in Å follow each position.
Element x y z (fractional)
1 Cd 0.0000 0.0000 0.0000  4 Cd 2.76, 8 Co 2.82
2 Co 0.5000 0.5000 0.2674  4 Pt 2.63, 4 Co 2.76, 4 Cd 2.82
3 Co 0.5000 0.5000 0.7326  4 Pt 2.63, 4 Co 2.76, 4 Cd 2.82
4 Pt 0.0000 0.0000 0.5000  8 Co 2.63, 4 Pt 2.76

A relaxed structure of Cd2CoPt. Source: Alexandria via LeMat-Bulk, functional GGA-PBE.

- total energy (eV/atom) = -3.3787
- space-group type = No. 122
- formation enthalpy at 0 K (eV per atom) = 0.3655

Lattice parameters (Å, degrees): 5.8643 5.8643 5.8643 102.35 102.35 124.90
Closest atoms and distances in Å follow each position.
Element x y z (fractional)
1 Cd 0.1128 0.6250 0.9878  2 Co 2.63, 2 Cd 2.72, 2 Pt 2.75
2 Cd 0.3750 0.3628 0.4878  2 Co 2.63, 2 Cd 2.72, 2 Pt 2.75
3 Cd 0.6372 0.1250 0.0122  2 Co 2.63, 2 Cd 2.72, 2 Pt 2.75
4 Cd 0.8750 0.8872 0.5122  2 Co 2.63, 2 Cd 2.72, 2 Pt 2.75
5 Co 0.0000 0.0000 0.0000  4 Cd 2.63, 2 Pt 2.71
6 Co 0.7500 0.2500 0.5000  4 Cd 2.63, 2 Pt 2.71
7 Pt 0.2500 0.7500 0.5000  2 Co 2.71, 4 Cd 2.75
8 Pt 0.5000 0.5000 0.0000  2 Co 2.71, 4 Cd 2.75

A relaxed structure of Cd2CoPt. Source: Alexandria via LeMat-Bulk, functional GGA-PBE.

- total energy (eV/atom) = -3.6272
- space-group type = No. 216
- formation enthalpy at 0 K (eV per atom) = 0.1170

Lattice parameters (Å, degrees): 4.5630 4.5630 4.5630 60.00 60.00 60.00
Closest atoms and distances in Å follow each position.
Element x y z (fractional)
1 Cd 0.0000 0.0000 0.0000  4 Co 2.79, 4 Cd 2.79
2 Cd 0.2500 0.2500 0.2500  4 Cd 2.79, 4 Pt 2.79
3 Co 0.7500 0.7500 0.7500  4 Cd 2.79, 4 Pt 2.79
4 Pt 0.5000 0.5000 0.5000  4 Co 2.79, 4 Cd 2.79

A relaxed structure of Cd2CoPt. Source: Alexandria via LeMat-Bulk, functional GGA-PBE.

- total energy (eV/atom) = -3.6880
- space-group type = No. 12
- formation enthalpy at 0 K (eV per atom) = 0.0562

Lattice parameters (Å, degrees): 4.9191 4.9191 2.8929 90.23 90.23 107.31
Closest atoms and distances in Å follow each position.
Element x y z (fractional)
1 Cd 0.0000 0.5000 0.0000  4 Co 2.85-2.86, 4 Pt 2.85-2.86, 4 Cd 2.89-2.92
2 Cd 0.5000 0.0000 0.0000  4 Co 2.85-2.86, 4 Pt 2.85-2.86, 4 Cd 2.89-2.92
3 Co 0.0000 0.0000 0.5000  8 Cd 2.85-2.86, 2 Co 2.89, 2 Pt 2.92
4 Pt 0.5000 0.5000 0.5000  8 Cd 2.85-2.86, 2 Pt 2.89, 2 Co 2.92